DFT (GGA-PBE) results for a relaxed structure of CaZn2Cd.

Cell lengths 4.888, 4.888, 4.855 Å; angles 119.44, 119.44, 90.83 degrees
Fractional positions:
Zn: 0.002 0.998 0.000
Zn: 0.248 0.752 0.500
Ca: 0.499 0.501 0.000
Cd: 0.751 0.249 0.500

Calculated values
DOS at the Fermi energy ... 1.6 states/eV/f.u.
Calculated total energy ... -1.51 eV/atom
Energy of formation ... -0.57 eV/f.u.
Space-group type ... C2, No. 5
Calculated volume ... 82.82 Å³/cell

---

DFT (GGA-PBE) results for a relaxed structure of Ca3Zn4Cd2.

Cell lengths 4.588, 6.020, 9.069 Å; angles 111.98, 90.00, 112.40 degrees
Fractional positions:
Ca: 0.655 0.310 0.680
Ca: 0.000 0.000 0.000
Ca: 0.345 0.690 0.320
Zn: 0.728 0.455 0.054
Zn: 0.272 0.545 0.946
Zn: 0.933 0.866 0.590
Zn: 0.067 0.134 0.410
Cd: 0.632 0.264 0.294
Cd: 0.368 0.736 0.706

Calculated values
DOS at the Fermi energy ... 5.2 states/eV/f.u.
Calculated total energy ... -1.72 eV/atom
Energy of formation ... -2.53 eV/f.u.
Space-group type ... C2/m, No. 12
Calculated volume ... 211.74 Å³/cell

---

DFT (GGA-PBE) results for a relaxed structure of Ca6ZnCd5.

Cell lengths 5.427, 7.553, 8.541 Å; angles 90.00, 108.26, 90.00 degrees
Fractional positions:
Ca: 0.837 0.753 0.673
Ca: 0.837 0.247 0.673
Ca: 0.500 0.244 0.000
Ca: 0.500 0.756 0.000
Ca: 0.163 0.753 0.327
Ca: 0.163 0.247 0.327
Zn: 0.000 0.000 0.000
Cd: 0.667 0.500 0.335
Cd: 0.332 0.000 0.661
Cd: 0.000 0.500 0.000
Cd: 0.668 0.000 0.339
Cd: 0.333 0.500 0.665

Calculated values
DOS at the Fermi energy ... 9.2 states/eV/f.u.
Calculated total energy ... -1.82 eV/atom
Energy of formation ... -4.01 eV/f.u.
Space-group type ... P2/m, No. 10
Calculated volume ... 332.49 Å³/cell

---

DFT (GGA-PBE) results for a relaxed structure of Ca2ZnCd2.

Cell lengths 7.583, 7.583, 4.749 Å; angles 90.00, 90.00, 90.00 degrees
Fractional positions:
Zn: 0.000 0.000 0.000
Zn: 0.500 0.500 0.000
Ca: 0.172 0.672 0.500
Ca: 0.672 0.828 0.500
Ca: 0.828 0.328 0.500
Ca: 0.328 0.172 0.500
Cd: 0.364 0.864 0.000
Cd: 0.864 0.636 0.000
Cd: 0.636 0.136 0.000
Cd: 0.136 0.364 0.000

Calculated values
DOS at the Fermi energy ... 4.3 states/eV/f.u.
Offset from the most stable computed form ... 90 meV per atom
Calculated total energy ... -1.62 eV/atom
Energy of formation ... -1.01 eV/f.u.
Space-group type ... P4/mbm, No. 127
Calculated volume ... 273.08 Å³/cell

---

Among the records above, which one has the highest DOS at the Fermi energy? Ca6ZnCd5

---

Please write out number 4 again, unchanged.
DFT (GGA-PBE) results for a relaxed structure of Ca2ZnCd2.

Cell lengths 7.583, 7.583, 4.749 Å; angles 90.00, 90.00, 90.00 degrees
Fractional positions:
Zn: 0.000 0.000 0.000
Zn: 0.500 0.500 0.000
Ca: 0.172 0.672 0.500
Ca: 0.672 0.828 0.500
Ca: 0.828 0.328 0.500
Ca: 0.328 0.172 0.500
Cd: 0.364 0.864 0.000
Cd: 0.864 0.636 0.000
Cd: 0.636 0.136 0.000
Cd: 0.136 0.364 0.000

Calculated values
DOS at the Fermi energy ... 4.3 states/eV/f.u.
Offset from the most stable computed form ... 90 meV per atom
Calculated total energy ... -1.62 eV/atom
Energy of formation ... -1.01 eV/f.u.
Space-group type ... P4/mbm, No. 127
Calculated volume ... 273.08 Å³/cell